Record 1
{
  "formula": "HfUTi2",
  "functional": "PBE",
  "state": "relaxed",
  "polymorph_energy_ev_per_atom": 0.021,
  "sg": "Fm-3m (225)",
  "formation_energy_ev_per_atom": 0.211,
  "lattice_angstrom": [[4.798, 0.000, 0.000], [2.399, 4.155, 0.000], [2.399, 1.385, 3.918]],
  "species": ["Hf", "U", "Ti", "Ti"],
  "fractional_positions": [[0.500, 0.500, 0.500], [0.000, 0.000, 0.000], [0.250, 0.250, 0.250], [0.750, 0.750, 0.750]]
}



Record 2
{
  "formula": "V2CoPb",
  "functional": "PBE",
  "state": "relaxed",
  "sg": "I-42d (122)",
  "formation_energy_ev_per_atom": 0.544,
  "lattice_angstrom": [[-2.652, -5.435, -3.554], [6.479, -1.962, -1.834], [2.077, -5.212, -0.501]],
  "species": ["Pb", "Pb", "Co", "Co", "V", "V", "V", "V"],
  "fractional_positions": [[0.000, 0.000, 0.000], [0.750, 0.250, 0.500], [0.500, 0.500, 0.000], [0.250, 0.750, 0.500], [0.565, 0.125, 0.250], [0.185, 0.625, 0.250], [0.375, 0.435, 0.750], [0.875, 0.815, 0.750]]
}



Record 3
{
  "formula": "HoIO",
  "functional": "PBE",
  "state": "relaxed",
  "formation_energy_uncorrected_ev_per_atom": -2.199,
  "sg": "I4/mmm (139)",
  "lattice_angstrom": [[3.694, 0.000, -0.705], [-0.135, 3.692, -0.705], [0.173, 0.179, 10.933]],
  "species": ["Ho", "Ho", "I", "I", "O", "O"],
  "fractional_positions": [[0.065, 0.065, 0.129], [0.935, 0.935, 0.871], [0.346, 0.346, 0.692], [0.654, 0.654, 0.308], [0.000, 0.500, 0.000], [0.500, 0.000, 0.000]]
}



Record 4
{
  "formula": "AlSb2Pt",
  "functional": "PBE",
  "state": "relaxed",
  "formation_energy_uncorrected_ev_per_atom": 0.077,
  "sg": "Cmmm (65)",
  "lattice_angstrom": [[4.905, -0.068, 0.000], [-0.923, 4.818, 0.000], [0.000, 0.000, 3.554]],
  "species": ["Sb", "Sb", "Al", "Pt"],
  "fractional_positions": [[0.000, 0.000, 0.000], [0.500, 0.500, 0.000], [0.500, 0.000, 0.500], [0.000, 0.500, 0.500]]
}



Record 5
{
  "formula": "AgRh2Br",
  "functional": "PBE",
  "state": "relaxed",
  "formation_energy_uncorrected_ev_per_atom": 0.634,
  "polymorph_energy_ev_per_atom": 0.329,
  "sg": "Pmmm (47)",
  "lattice_angstrom": [[2.931, 0.000, 0.000], [0.000, 4.968, 0.000], [0.000, 0.000, 4.679]],
  "species": ["Rh", "Rh", "Br", "Ag"],
  "fractional_positions": [[0.000, 0.000, 0.000], [0.500, 0.500, 0.000], [0.000, 0.500, 0.500], [0.500, 0.000, 0.500]]
}



Record 6
{
  "formula": "BHRu",
  "functional": "PBE",
  "state": "relaxed",
  "polymorph_energy_ev_per_atom": 0.037,
  "sg": "C2/m (12)",
  "lattice_angstrom": [[-2.948, -5.359, -2.325], [1.692, 0.097, -2.371], [3.845, -2.118, 2.657]],
  "species": ["B", "B", "B", "B", "H", "H", "H", "H", "Ru", "Ru", "Ru", "Ru"],
  "fractional_positions": [[0.938, 0.000, 0.152], [0.062, 0.000, 0.848], [0.938, 0.500, 0.652], [0.062, 0.500, 0.348], [0.553, 0.000, 0.190], [0.447, 0.000, 0.810], [0.553, 0.500, 0.690], [0.447, 0.500, 0.310], [0.273, 0.000, 0.225], [0.727, 0.000, 0.775], [0.273, 0.500, 0.725], [0.727, 0.500, 0.275]]
}



Record 7
{
  "formula": "Hf2CrH4",
  "functional": "PBE",
  "state": "relaxed",
  "sg": "I4/mmm (139)",
  "lattice_angstrom": [[-1.583, -0.418, -2.894], [2.855, -0.932, -1.427], [-0.434, -6.036, -0.801]],
  "species": ["Cr", "Hf", "Hf", "H", "H", "H", "H"],
  "fractional_positions": [[0.000, 0.000, 0.000], [0.345, 0.345, 0.309], [0.655, 0.655, 0.691], [0.157, 0.157, 0.687], [0.843, 0.843, 0.313], [0.000, 0.500, 0.000], [0.500, 0.000, 0.000]]
}



Record 8
{
  "formula": "MnCu2GeSe4",
  "functional": "PBE",
  "state": "relaxed",
  "formation_energy_uncorrected_ev_per_atom": -0.299,
  "sg": "I-42m (121)",
  "lattice_angstrom": [[5.710, 0.238, 0.000], [-0.237, 5.710, 0.000], [-2.737, -2.974, 5.597]],
  "species": ["Mn", "Cu", "Cu", "Ge", "Se", "Se", "Se", "Se"],
  "fractional_positions": [[0.000, 0.000, 0.000], [0.750, 0.250, 0.500], [0.250, 0.750, 0.500], [0.500, 0.500, 0.000], [0.613, 0.613, 0.739], [0.387, 0.874, 0.261], [0.874, 0.387, 0.261], [0.126, 0.126, 0.739]]
}



Record 9
{
  "formula": "BaLi2TeBr2",
  "functional": "PBE",
  "state": "relaxed",
  "formation_energy_uncorrected_ev_per_atom": -1.573,
  "sg": "P2_1/m (11)",
  "lattice_angstrom": [[5.761, 0.000, 0.000], [0.000, 7.553, 0.069], [0.000, -2.685, 8.042]],
  "species": ["Ba", "Ba", "Li", "Li", "Li", "Li", "Te", "Te", "Br", "Br", "Br", "Br"],
  "fractional_positions": [[0.750, 0.353, 0.719], [0.250, 0.647, 0.281], [0.503, 0.116, 0.182], [0.997, 0.116, 0.182], [0.003, 0.884, 0.818], [0.497, 0.884, 0.818], [0.250, 0.219, 0.942], [0.750, 0.781, 0.058], [0.250, 0.102, 0.415], [0.250, 0.603, 0.669], [0.750, 0.898, 0.585], [0.750, 0.397, 0.331]]
}



Record 10
{
  "formula": "CsSn3Cl6",
  "functional": "PBE",
  "state": "relaxed",
  "formation_energy_uncorrected_ev_per_atom": -1.061,
  "sg": "P1 (1)",
  "lattice_angstrom": [[7.331, -0.599, -4.247], [-5.012, 6.846, 0.414], [-0.432, 0.236, 8.528]],
  "species": ["Cs", "Sn", "Sn", "Sn", "Cl", "Cl", "Cl", "Cl", "Cl", "Cl"],
  "fractional_positions": [[0.810, 0.895, 0.670], [0.652, 0.356, 0.915], [0.333, 0.675, 0.992], [0.298, 0.143, 0.438], [0.406, 0.515, 0.809], [0.052, 0.742, 0.070], [0.897, 0.066, 0.301], [0.246, 0.857, 0.729], [0.869, 0.314, 0.779], [0.437, 0.437, 0.299]]
}



Record 11
{
  "formula": "AgSeI3",
  "functional": "PBE",
  "state": "relaxed",
  "formation_energy_uncorrected_ev_per_atom": 0.468,
  "polymorph_energy_ev_per_atom": 0.521,
  "sg": "Pm-3m (221)",
  "lattice_angstrom": [[5.706, 0.000, 0.000], [0.000, 5.706, 0.000], [0.000, 0.000, 5.706]],
  "species": ["I", "I", "I", "Se", "Ag"],
  "fractional_positions": [[0.000, 0.500, 0.000], [0.000, 0.000, 0.500], [0.500, 0.000, 0.000], [0.500, 0.500, 0.500], [0.000, 0.000, 0.000]]
}



Record 12
{
  "formula": "Pr2SmAgTe5",
  "functional": "PBE",
  "state": "relaxed",
  "formation_energy_uncorrected_ev_per_atom": -1.202,
  "sg": "Cmc2_1 (36)",
  "lattice_angstrom": [[-2.697, -3.430, -0.785], [5.218, -3.011, 7.742], [-9.146, 5.308, 8.228]],
  "species": ["Pr", "Pr", "Pr", "Pr", "Sm", "Sm", "Ag", "Ag", "Te", "Te", "Te", "Te", "Te", "Te", "Te", "Te", "Te", "Te"],
  "fractional_positions": [[0.875, 0.750, 0.806], [0.111, 0.222, 0.686], [0.125, 0.250, 0.306], [0.889, 0.778, 0.186], [0.807, 0.614, 0.508], [0.193, 0.386, 0.008], [0.568, 0.135, 0.960], [0.432, 0.865, 0.460], [0.359, 0.717, 0.999], [0.692, 0.384, 0.839], [0.499, 0.998, 0.779], [0.287, 0.574, 0.671], [0.958, 0.916, 0.576], [0.641, 0.283, 0.499], [0.308, 0.616, 0.339], [0.501, 0.002, 0.279], [0.713, 0.426, 0.171], [0.042, 0.084, 0.076]]
}



no.,V (Å³ per cell),electronic total energy (eV/atom),DOS at the Fermi energy (states/eV/f.u.)
1,78,-9.047,9.5
2,131,-6.718,3.6
3,150,-5.894,0.1
4,84,-4.430,2.1
5,68,-4.173,6.1
6,96,-6.512,0.8
7,62,-6.342,1.9
8,183,-4.789,1.2
9,351,-3.612,0.0
10,394,-3.456,0.5
11,186,-1.729,4.5
12,568,-4.850,0.1